Model 1:
Here is an optimized crystal structure of Ac3Si from Alexandria. Energies are from PBE.

Its volume is 36.07 Å³/atom.

The structure belongs to space group P4_2/n (No. 86, origin choice 2); the cell edges are 13.255, 13.255 and 6.569 Å and the angles 90.00°, 90.00° and 90.00°. The distinct sites, in fractional coordinates, are Ac at (0.029, 0.576, 0.234), Ac at (0.115, 0.215, 0.017), Ac at (0.134, 0.669, 0.727) and Si at (0.048, 0.205, 0.527).

Model 2:
Here is an optimized crystal structure of Ac3Si from Alexandria. Energies are from PBE.

Its volume is 37.35 Å³/atom.

The structure belongs to space group Cmcm (No. 63); the cell edges are 4.411, 13.534 and 10.010 Å and the angles 90.00°, 90.00° and 90.00°. The distinct sites, in fractional coordinates, are Ac at (0.000, 0.073, 0.250), Ac at (0.000, 0.352, 0.060) and Si at (0.000, 0.256, 0.750).

Ranked by calculated energy, most stable first: model 2, model 1.

Model 1:
Here is an optimized crystal structure of Ac2Si from Alexandria. Energies are from PBE.

Its volume is 35.75 Å³/atom.

The structure belongs to space group Fm-3m (No. 225); the cell edges are 7.542, 7.542 and 7.542 Å and the angles 90.00°, 90.00° and 90.00°. The distinct sites, in fractional coordinates, are Ac at (0.250, 0.250, 0.250) and Si at (0.000, 0.000, 0.000).

Model 2:
Here is an optimized crystal structure of Ac2Si from Alexandria. Energies are from PBE.

Its volume is 34.96 Å³/atom.

The structure belongs to space group C2/m (No. 12); the cell edges are 12.968, 4.497 and 9.160 Å and the angles 90.00°, 128.24° and 90.00°. The distinct sites, in fractional coordinates, are Ac at (0.082, 0.000, 0.367), Ac at (0.180, 0.500, 0.082) and Si at (0.109, 0.500, 0.650).

Model 3:
Here is an optimized crystal structure of Ac2Si from Alexandria. Energies are from PBE.

Its volume is 35.11 Å³/atom.

The structure belongs to space group I4/mmm (No. 139); the cell edges are 3.970, 3.970 and 13.365 Å and the angles 90.00°, 90.00° and 90.00°. The distinct sites, in fractional coordinates, are Ac at (0.000, 0.000, 0.126) and Si at (0.000, 0.000, 0.500).

Ranked by calculated energy, most stable first: model 2, model 1, model 3.

Model 1:
Here is an optimized crystal structure of Ac2SmSi from Alexandria. Energies are from PBE.

Its volume is 40.98 Å³/atom.

The structure belongs to space group R-3m (No. 166, hexagonal axes); the cell edges are 4.1465, 4.1465 and 33.0302 Å and the angles 90.00°, 90.00° and 120.00°. The distinct sites, in fractional coordinates, are Ac at (0.0000, 0.0000, 0.1107), Sm at (0.0000, 0.0000, 0.0000) and Si at (0.0000, 0.0000, 0.5000).

Model 2:
Here is an optimized crystal structure of Ac2SmSi from Alexandria. Energies are from PBE.

Its volume is 31.63 Å³/atom.

The structure belongs to space group P4/mmm (No. 123); the cell edges are 5.098, 5.098 and 4.867 Å and the angles 90.00°, 90.00° and 90.00°. The distinct sites, in fractional coordinates, are Ac at (0.000, 0.500, 0.000), Sm at (0.000, 0.000, 0.500) and Si at (0.500, 0.500, 0.500).

Ranked by calculated energy, most stable first: model 2, model 1.

Model 1:
Here is an optimized crystal structure of AcSm2Si from Alexandria. Energies are from PBE.

Its volume is 34.69 Å³/atom.

The structure belongs to space group R3m (No. 160, hexagonal axes); the cell edges are 4.1219, 4.1219 and 28.2892 Å and the angles 90.00°, 90.00° and 120.00°. The distinct sites, in fractional coordinates, are Ac at (0.0000, 0.0000, 0.0000), Sm at (0.0000, 0.0000, 0.5548), Sm at (0.0000, 0.0000, 0.7734) and Si at (0.0000, 0.0000, 0.1635).

Model 2:
Here is an optimized crystal structure of AcSm2Si from Alexandria. Energies are from PBE.

Its volume is 28.91 Å³/atom.

The structure belongs to space group P4/mmm (No. 123); the cell edges are 4.887, 4.887 and 4.841 Å and the angles 90.00°, 90.00° and 90.00°. The distinct sites, in fractional coordinates, are Ac at (0.000, 0.000, 0.000), Sm at (0.000, 0.500, 0.500) and Si at (0.500, 0.500, 0.000).

Model 3:
Here is an optimized crystal structure of AcSm2Si from Alexandria. Energies are from PBE.

Its volume is 37.40 Å³/atom.

The structure belongs to space group R-3m (No. 166, hexagonal axes); the cell edges are 3.9806, 3.9806 and 32.7036 Å and the angles 90.00°, 90.00° and 120.00°. The distinct sites, in fractional coordinates, are Ac at (0.0000, 0.0000, 0.0000), Sm at (0.0000, 0.0000, 0.1154) and Si at (0.0000, 0.0000, 0.5000).

Ranked by calculated energy, most stable first: model 1, model 2, model 3.

Model 1:
Here is an optimized crystal structure of Ac3SiSn from Alexandria. Energies are from PBE.

Its volume is 37.02 Å³/atom.

The structure belongs to space group Pmmn (No. 59, origin choice 2); the cell edges are 4.839, 7.540 and 10.148 Å and the angles 90.00°, 90.00° and 90.00°. The distinct sites, in fractional coordinates, are Ac at (0.250, 0.016, 0.160), Ac at (0.250, 0.250, 0.576), Si at (0.250, 0.250, 0.893) and Sn at (0.250, 0.750, 0.649).

Model 2:
Here is an optimized crystal structure of Ac3SiSn from Alexandria. Energies are from PBE.

Its volume is 41.20 Å³/atom.

The structure belongs to space group Pm-3m (No. 221); the cell edges are 5.906, 5.906 and 5.906 Å and the angles 90.00°, 90.00° and 90.00°. The distinct sites, in fractional coordinates, are Ac at (0.000, 0.000, 0.500), Si at (0.000, 0.000, 0.000) and Sn at (0.500, 0.500, 0.500).

Ranked by calculated energy, most stable first: model 1, model 2.

Model 1:
Here is an optimized crystal structure of Ac2Si2Sn from Alexandria. Energies are from PBE.

Its volume is 28.19 Å³/atom.

The structure belongs to space group P4/mbm (No. 127); the cell edges are 7.791, 7.791 and 4.644 Å and the angles 90.00°, 90.00° and 90.00°. The distinct sites, in fractional coordinates, are Ac at (0.182, 0.318, 0.000), Si at (0.109, 0.609, 0.500) and Sn at (0.000, 0.000, 0.500).

Model 2:
Here is an optimized crystal structure of Ac2Si2Sn from Alexandria. Energies are from PBE.

Its volume is 27.92 Å³/atom.

The structure belongs to space group Cmmm (No. 65); the cell edges are 4.010, 15.035 and 4.630 Å and the angles 90.00°, 90.00° and 90.00°. The distinct sites, in fractional coordinates, are Ac at (0.000, 0.132, 0.000), Si at (0.000, 0.295, 0.500) and Sn at (0.000, 0.500, 0.500).

Ranked by calculated energy, most stable first: model 2, model 1.